1.
4
Lattice="-2.518 -2.583 -0.875 1.940 -0.858 -3.050 6.105 -6.335 1.133" Properties=species:S:1:pos:R:3 comment="La2ScCu, relaxed, DFT GGA-PBE" delta_e_f_ev_per_atom=-0.013 e_above_lowest_polymorph_mev_per_atom=44.8 energy_ev_per_atom=-5.0839 pbc="T T T"
Cu 4.775 -6.686 -1.875
La 5.971 -6.159 1.000
La 4.156 -3.772 -0.826
Sc 0.752 -3.090 -0.917


2.
12
Lattice="5.154 0.000 0.000 -2.577 4.463 0.000 0.000 0.000 8.402" Properties=species:S:1:pos:R:3 comment="LaSc3Cu8, relaxed, DFT GGA-PBE" delta_e_f_ev_per_atom=-0.191 energy_ev_per_atom=-4.9152 pbc="T T T"
La 0.000 0.000 4.757
Sc 2.577 1.488 3.531
Sc 2.577 1.488 0.411
Sc 0.000 0.000 8.105
Cu 0.000 2.976 4.187
Cu 0.000 2.976 8.366
Cu 2.577 0.016 6.378
Cu 1.303 2.224 6.378
Cu 3.851 2.224 6.378
Cu 0.000 1.501 2.040
Cu -1.277 3.713 2.040
Cu 1.277 3.713 2.040


3.
5
Lattice="-0.052 -3.924 2.834 2.458 -2.463 -3.365 4.170 1.403 2.019" Properties=species:S:1:pos:R:3 comment="LaScCu3, relaxed, DFT GGA-PBE" delta_e_f_ev_per_atom=0.328 e_above_lowest_polymorph_mev_per_atom=529.8 energy_ev_per_atom=-4.3815 pbc="T T T"
Sc 0.000 0.000 0.000
Cu 1.229 -1.232 -1.682
Cu 2.085 0.701 1.009
Cu -0.026 -1.962 1.417
La 3.288 -2.492 0.744


4.
6
Lattice="4.625 0.000 0.000 0.000 4.625 0.000 0.000 0.000 6.886" Properties=species:S:1:pos:R:3 comment="LaScCu, relaxed, DFT GGA-PBE" delta_e_f_ev_per_atom=-0.162 e_above_lowest_polymorph_mev_per_atom=0.0 energy_ev_per_atom=-5.2802 pbc="T T T"
La 0.000 2.312 6.102
La 2.312 0.000 0.785
Cu 0.000 2.312 2.031
Cu 2.312 0.000 4.856
Sc 2.312 2.312 3.443
Sc 0.000 0.000 3.443